[1]
# K2GaOF5, optimized geometry, DFT PBE-GGA
# Calculated volume: 604.7 Å³/cell
# Energy: -4.3360 eV per atom
data_K2GaOF5
_chemical_formula_sum 'K8 Ga4 O4 F20'
_cell_length_a 10.078
_cell_length_b 7.562
_cell_length_c 7.961
_cell_angle_alpha 90.00
_cell_angle_beta 94.65
_cell_angle_gamma 90.00
_symmetry_space_group_name_H-M 'C 1 2/c 1'
_symmetry_Int_Tables_number 15
_symmetry_space_group_name_Hall '-C 2yc'
loop_
_atom_site_label
_atom_site_type_symbol
_atom_site_fract_x
_atom_site_fract_y
_atom_site_fract_z
K1 K 0.191 0.005 0.034
Ga1 Ga 0.000 0.316 0.750
O1 O 0.000 0.403 0.250
F1 F 0.000 0.063 0.750
F2 F 0.072 0.324 0.980
F3 F 0.179 0.329 0.688

[2]
# TiPN3, optimized geometry, DFT PBE-GGA
# Calculated volume: 103.6 Å³/cell
# Energy: -7.8412 eV per atom
data_TiPN3
_chemical_formula_sum 'Ti2 P2 N6'
_cell_length_a 3.0991
_cell_length_b 3.0991
_cell_length_c 12.4513
_cell_angle_alpha 90.00
_cell_angle_beta 90.00
_cell_angle_gamma 120.00
_symmetry_space_group_name_H-M 'P 63/m m c'
_symmetry_Int_Tables_number 194
_symmetry_space_group_name_Hall '-P 6c 2c'
loop_
_atom_site_label
_atom_site_type_symbol
_atom_site_fract_x
_atom_site_fract_y
_atom_site_fract_z
Ti1 Ti 0.3333 0.6667 0.2500
P1 P 0.0000 0.0000 0.0000
N1 N 0.0000 0.0000 0.2500
N2 N 0.3333 0.6667 0.0722

[3]
# SbOs3Br, optimized geometry, DFT PBE-GGA
# Calculated volume: 99.2 Å³/cell
# Energy: -5.5623 eV per atom
data_SbOs3Br
_chemical_formula_sum 'Sb1 Os3 Br1'
_cell_length_a 4.629
_cell_length_b 4.629
_cell_length_c 4.629
_cell_angle_alpha 90.00
_cell_angle_beta 90.00
_cell_angle_gamma 90.00
_symmetry_space_group_name_H-M 'P m -3 m'
_symmetry_Int_Tables_number 221
_symmetry_space_group_name_Hall '-P 4 2 3'
loop_
_atom_site_label
_atom_site_type_symbol
_atom_site_fract_x
_atom_site_fract_y
_atom_site_fract_z
Sb1 Sb 0.000 0.000 0.000
Os1 Os 0.000 0.500 0.500
Br1 Br 0.500 0.500 0.500

What are the energy relative to the elements, uncorrected values for these records? In order: -49.93 -4.27 53.84 kcal/mol of atoms.